{
  "formula": "ZrTeSN2",
  "functional": "PBE",
  "state": "optimized geometry",
  "spacegroup": "P4/mmm",
  "raw_formation_energy_ev_per_atom": 0.577,
  "lattice": [[4.076, 0.000, 0.000], [0.000, 4.076, 0.000], [0.000, 0.000, 6.499]],
  "species": ["S", "Te", "Zr", "N", "N"],
  "fractional_positions": [[0.500, 0.500, 0.500], [0.000, 0.000, 0.500], [0.000, 0.000, 0.000], [0.000, 0.500, 0.000], [0.500, 0.000, 0.000]]
}

***

{
  "formula": "ZrTe2SN",
  "functional": "PBE",
  "state": "optimized geometry",
  "spacegroup": "P4/mmm",
  "raw_formation_energy_ev_per_atom": 0.564,
  "lattice": [[5.551, 0.000, 0.000], [0.000, 5.551, 0.000], [0.000, 0.000, 3.372]],
  "species": ["S", "Te", "Te", "Zr", "N"],
  "fractional_positions": [[0.000, 0.000, 0.000], [0.000, 0.500, 0.000], [0.500, 0.000, 0.000], [0.500, 0.500, 0.500], [0.000, 0.000, 0.500]]
}

***

{
  "formula": "ZrTeSN2",
  "functional": "PBE",
  "state": "optimized geometry",
  "spacegroup": "P4/mmm",
  "raw_formation_energy_ev_per_atom": 1.290,
  "lattice": [[-0.973, -0.048, -3.859], [3.858, -0.110, -0.971], [-0.119, -4.974, 0.091]],
  "species": ["S", "Te", "Zr", "N", "N"],
  "fractional_positions": [[0.000, 0.000, 0.000], [0.000, 0.000, 0.500], [0.500, 0.500, 0.500], [0.000, 0.500, 0.000], [0.500, 0.000, 0.000]]
}

***

{
  "formula": "ZrTe2SN",
  "functional": "PBE",
  "state": "optimized geometry",
  "spacegroup": "P4/mmm",
  "raw_formation_energy_ev_per_atom": 0.399,
  "lattice": [[5.694, 0.000, 0.000], [0.000, 5.694, 0.000], [0.000, 0.000, 4.021]],
  "species": ["S", "Te", "Te", "Zr", "N"],
  "fractional_positions": [[0.500, 0.500, 0.500], [0.000, 0.500, 0.000], [0.500, 0.000, 0.000], [0.000, 0.000, 0.000], [0.000, 0.000, 0.500]]
}

***

{
  "formula": "Th2SN",
  "functional": "PBE",
  "state": "optimized geometry",
  "spacegroup": "R3m",
  "raw_formation_energy_ev_per_atom": -1.359,
  "lattice": [[3.659, 0.000, 0.000], [1.829, 3.169, 0.000], [1.829, 1.056, 7.032]],
  "species": ["Th", "Th", "S", "N"],
  "fractional_positions": [[0.089, 0.089, 0.732], [0.244, 0.244, 0.268], [0.666, 0.666, 0.001], [0.500, 0.500, 0.499]]
}

***

{
  "formula": "Th2SN",
  "functional": "PBE",
  "state": "optimized geometry",
  "spacegroup": "R-3m",
  "raw_formation_energy_ev_per_atom": -1.695,
  "lattice": [[3.773, 0.000, 0.000], [1.887, 3.268, 0.000], [1.887, 1.089, 6.563]],
  "species": ["S", "Th", "Th", "N"],
  "fractional_positions": [[0.000, 0.000, 0.000], [0.762, 0.762, 0.715], [0.238, 0.238, 0.285], [0.500, 0.500, 0.500]]
}

***

Number 1: offset from the most stable computed form 0 meV per atom, VASP energy -5.917 eV/atom. Number 2: offset from the most stable computed form 165 meV per atom, VASP energy -4.893 eV/atom. Number 3: offset from the most stable computed form 713 meV per atom, VASP energy -5.204 eV/atom. Number 4: offset from the most stable computed form 0 meV per atom, VASP energy -5.058 eV/atom. Number 5: offset from the most stable computed form 336 meV per atom, VASP energy -8.182 eV/atom. Number 6: offset from the most stable computed form 0 meV per atom, VASP energy -8.518 eV/atom.